(1)
# PBE-GGA SiAuSe2, optimized geometry
# Fermi-level density of states: 1.25 states/eV/f.u.
# Total moment: 0.000 μB/atom
# V: 21.024 Å³/atom
# Formation energy without anion corrections: 1.46 eV/f.u.
data_SiAuSe2
_chemical_formula_sum 'Si2 Au2 Se4'
_cell_length_a 3.551
_cell_length_b 4.229
_cell_length_c 11.198
_cell_angle_alpha 90.00
_cell_angle_beta 90.00
_cell_angle_gamma 90.00
_space_group_name_H-M_alt 'C m m 2'
_space_group_IT_number 35
_space_group_name_Hall 'C 2 -2'
loop_
_atom_site_label
_atom_site_type_symbol
_atom_site_fract_x
_atom_site_fract_y
_atom_site_fract_z
_atom_site_occupancy
Si1 Si 0.000 0.000 0.000 1
Au1 Au 0.000 0.500 0.191 1
Se1 Se 0.000 0.000 0.424 1
Se2 Se 0.000 0.500 0.763 1



(2)
# PBE-GGA SiAu2Se, optimized geometry
# Fermi-level density of states: 1.25 states/eV/f.u.
# Total moment: 0.000 μB/atom
# V: 18.989 Å³/atom
# Energy above the most stable polymorph in this dataset: 0.0000 eV/atom
# Formation energy without anion corrections: 0.12 eV/f.u.
data_SiAu2Se
_chemical_formula_sum 'Si3 Au6 Se3'
_cell_length_a 3.4512
_cell_length_b 3.4512
_cell_length_c 22.0905
_cell_angle_alpha 90.00
_cell_angle_beta 90.00
_cell_angle_gamma 120.00
_space_group_name_H-M_alt 'R 3 m'
_space_group_IT_number 160
_space_group_name_Hall 'R 3 -2"'
loop_
_atom_site_label
_atom_site_type_symbol
_atom_site_fract_x
_atom_site_fract_y
_atom_site_fract_z
_atom_site_occupancy
Si1 Si 0.0000 0.0000 0.0000 1
Au1 Au 0.0000 0.0000 0.4968 1
Au2 Au 0.0000 0.0000 0.7382 1
Se1 Se 0.0000 0.0000 0.2640 1



(3)
# PBE-GGA SiAu2Se, optimized geometry
# Fermi-level density of states: 0.23 states/eV/f.u.
# Total moment: 0.000 μB/atom
# V: 18.716 Å³/atom
# Energy above the most stable polymorph in this dataset: 0.3424 eV/atom
# Formation energy without anion corrections: 1.49 eV/f.u.
data_SiAu2Se
_chemical_formula_sum 'Si4 Au8 Se4'
_cell_length_a 6.690
_cell_length_b 6.690
_cell_length_c 6.690
_cell_angle_alpha 90.00
_cell_angle_beta 90.00
_cell_angle_gamma 90.00
_space_group_name_H-M_alt 'F m -3 m'
_space_group_IT_number 225
_space_group_name_Hall '-F 4 2 3'
loop_
_atom_site_label
_atom_site_type_symbol
_atom_site_fract_x
_atom_site_fract_y
_atom_site_fract_z
_atom_site_occupancy
Si1 Si 0.000 0.000 0.000 1
Au1 Au 0.250 0.250 0.250 1
Se1 Se 0.000 0.000 0.500 1



(4)
# PBE-GGA SiAuSe2, optimized geometry
# Fermi-level density of states: 1.78 states/eV/f.u.
# Total moment: 0.000 μB/atom
# V: 20.412 Å³/atom
# Formation energy without anion corrections: 0.23 eV/f.u.
data_SiAuSe2
_chemical_formula_sum 'Si1 Au1 Se2'
_cell_length_a 3.874
_cell_length_b 3.854
_cell_length_c 5.469
_cell_angle_alpha 90.00
_cell_angle_beta 90.12
_cell_angle_gamma 90.00
_space_group_name_H-M_alt 'P 1 2/m 1'
_space_group_IT_number 10
_space_group_name_Hall '-P 2y'
loop_
_atom_site_label
_atom_site_type_symbol
_atom_site_fract_x
_atom_site_fract_y
_atom_site_fract_z
_atom_site_occupancy
Si1 Si 0.000 0.000 0.000 1
Au1 Au 0.500 0.500 0.500 1
Se1 Se 0.000 0.000 0.500 1
Se2 Se 0.500 0.500 0.000 1



(5)
# PBE-GGA SiAuSe3, optimized geometry
# Fermi-level density of states: 4.16 states/eV/f.u.
# Total moment: 0.000 μB/atom
# V: 22.505 Å³/atom
# Energy above the most stable polymorph in this dataset: 0.7041 eV/atom
# Formation energy without anion corrections: 2.70 eV/f.u.
data_SiAuSe3
_chemical_formula_sum 'Si1 Au1 Se3'
_cell_length_a 4.828
_cell_length_b 4.828
_cell_length_c 4.828
_cell_angle_alpha 90.00
_cell_angle_beta 90.00
_cell_angle_gamma 90.00
_space_group_name_H-M_alt 'P m -3 m'
_space_group_IT_number 221
_space_group_name_Hall '-P 4 2 3'
loop_
_atom_site_label
_atom_site_type_symbol
_atom_site_fract_x
_atom_site_fract_y
_atom_site_fract_z
_atom_site_occupancy
Si1 Si 0.000 0.000 0.000 1
Au1 Au 0.500 0.500 0.500 1
Se1 Se 0.000 0.000 0.500 1



(6)
# PBE-GGA SiAu3Se, optimized geometry
# Fermi-level density of states: 5.38 states/eV/f.u.
# Total moment: 0.000 μB/atom
# V: 22.148 Å³/atom
# Energy above the most stable polymorph in this dataset: 0.0000 eV/atom
# Formation energy without anion corrections: 2.55 eV/f.u.
data_SiAu3Se
_chemical_formula_sum 'Si1 Au3 Se1'
_cell_length_a 4.802
_cell_length_b 4.802
_cell_length_c 4.802
_cell_angle_alpha 90.00
_cell_angle_beta 90.00
_cell_angle_gamma 90.00
_space_group_name_H-M_alt 'P m -3 m'
_space_group_IT_number 221
_space_group_name_Hall '-P 4 2 3'
loop_
_atom_site_label
_atom_site_type_symbol
_atom_site_fract_x
_atom_site_fract_y
_atom_site_fract_z
_atom_site_occupancy
Si1 Si 0.000 0.000 0.000 1
Au1 Au 0.000 0.000 0.500 1
Se1 Se 0.500 0.500 0.500 1



(7)
# PBE-GGA SiAuSe3, optimized geometry
# Fermi-level density of states: 3.38 states/eV/f.u.
# Total moment: 0.000 μB/atom
# V: 29.324 Å³/atom
# Energy above the most stable polymorph in this dataset: 0.0000 eV/atom
# Formation energy without anion corrections: -0.82 eV/f.u.
data_SiAuSe3
_chemical_formula_sum 'Si4 Au4 Se12'
_cell_length_a 6.126
_cell_length_b 7.574
_cell_length_c 13.852
_cell_angle_alpha 90.00
_cell_angle_beta 114.14
_cell_angle_gamma 90.00
_space_group_name_H-M_alt 'P 1 21/c 1'
_space_group_IT_number 14
_space_group_name_Hall '-P 2ybc'
loop_
_atom_site_label
_atom_site_type_symbol
_atom_site_fract_x
_atom_site_fract_y
_atom_site_fract_z
_atom_site_occupancy
Si1 Si 0.042 0.133 0.084 1
Au1 Au 0.384 0.705 0.815 1
Se1 Se 0.150 0.611 0.917 1
Se2 Se 0.175 0.125 0.950 1
Se3 Se 0.353 0.138 0.253 1



(8)
# PBE-GGA SiAuSe2, optimized geometry
# Fermi-level density of states: 1.54 states/eV/f.u.
# Total moment: 0.000 μB/atom
# V: 22.217 Å³/atom
# Formation energy without anion corrections: 0.53 eV/f.u.
data_SiAuSe2
_chemical_formula_sum 'Si2 Au2 Se4'
_cell_length_a 3.355
_cell_length_b 4.516
_cell_length_c 11.731
_cell_angle_alpha 90.00
_cell_angle_beta 90.00
_cell_angle_gamma 90.00
_space_group_name_H-M_alt 'I m m m'
_space_group_IT_number 71
_space_group_name_Hall '-I 2 2'
loop_
_atom_site_label
_atom_site_type_symbol
_atom_site_fract_x
_atom_site_fract_y
_atom_site_fract_z
_atom_site_occupancy
Si1 Si 0.000 0.000 0.000 1
Au1 Au 0.000 0.000 0.500 1
Se1 Se 0.000 0.500 0.348 1



(9)
# PBE-GGA SiAuSe3, optimized geometry
# Fermi-level density of states: 3.59 states/eV/f.u.
# Total moment: 0.000 μB/atom
# V: 25.906 Å³/atom
# Energy above the most stable polymorph in this dataset: 0.9572 eV/atom
# Formation energy without anion corrections: 3.97 eV/f.u.
data_SiAuSe3
_chemical_formula_sum 'Si1 Au1 Se3'
_cell_length_a 5.060
_cell_length_b 5.060
_cell_length_c 5.060
_cell_angle_alpha 90.00
_cell_angle_beta 90.00
_cell_angle_gamma 90.00
_space_group_name_H-M_alt 'P m -3 m'
_space_group_IT_number 221
_space_group_name_Hall '-P 4 2 3'
loop_
_atom_site_label
_atom_site_type_symbol
_atom_site_fract_x
_atom_site_fract_y
_atom_site_fract_z
_atom_site_occupancy
Si1 Si 0.000 0.000 0.000 1
Au1 Au 0.500 0.500 0.500 1
Se1 Se 0.000 0.500 0.500 1



(10)
# PBE-GGA SiAuSe2, optimized geometry
# Fermi-level density of states: 1.15 states/eV/f.u.
# Total moment: 0.000 μB/atom
# V: 25.641 Å³/atom
# Formation energy without anion corrections: 0.15 eV/f.u.
data_SiAuSe2
_chemical_formula_sum 'Si4 Au4 Se8'
_cell_length_a 5.762
_cell_length_b 5.762
_cell_length_c 12.359
_cell_angle_alpha 90.00
_cell_angle_beta 90.00
_cell_angle_gamma 90.00
_space_group_name_H-M_alt 'I -4 2 d'
_space_group_IT_number 122
_space_group_name_Hall 'I -4 2bw'
loop_
_atom_site_label
_atom_site_type_symbol
_atom_site_fract_x
_atom_site_fract_y
_atom_site_fract_z
_atom_site_occupancy
Si1 Si 0.000 0.000 0.000 1
Au1 Au 0.000 0.000 0.500 1
Se1 Se 0.220 0.250 0.125 1



(11)
# PBE-GGA SiAu2Se, optimized geometry
# Fermi-level density of states: 1.61 states/eV/f.u.
# Total moment: 0.000 μB/atom
# V: 18.837 Å³/atom
# Energy above the most stable polymorph in this dataset: 0.3141 eV/atom
# Formation energy without anion corrections: 1.38 eV/f.u.
data_SiAu2Se
_chemical_formula_sum 'Si2 Au4 Se2'
_cell_length_a 3.330
_cell_length_b 4.514
_cell_length_c 10.026
_cell_angle_alpha 90.00
_cell_angle_beta 90.00
_cell_angle_gamma 90.00
_space_group_name_H-M_alt 'C m m m'
_space_group_IT_number 65
_space_group_name_Hall '-C 2 2'
loop_
_atom_site_label
_atom_site_type_symbol
_atom_site_fract_x
_atom_site_fract_y
_atom_site_fract_z
_atom_site_occupancy
Si1 Si 0.000 0.000 0.000 1
Au1 Au 0.000 0.500 0.223 1
Se1 Se 0.000 0.000 0.500 1



(12)
# PBE-GGA SiAu2Se, optimized geometry
# Fermi-level density of states: 1.12 states/eV/f.u.
# Total moment: 0.000 μB/atom
# V: 18.913 Å³/atom
# Energy above the most stable polymorph in this dataset: 0.3416 eV/atom
# Formation energy without anion corrections: 1.49 eV/f.u.
data_SiAu2Se
_chemical_formula_sum 'Si2 Au4 Se2'
_cell_length_a 5.516
_cell_length_b 9.941
_cell_length_c 2.766
_cell_angle_alpha 90.00
_cell_angle_beta 94.02
_cell_angle_gamma 90.00
_space_group_name_H-M_alt 'C 1 2/m 1'
_space_group_IT_number 12
_space_group_name_Hall '-C 2y'
loop_
_atom_site_label
_atom_site_type_symbol
_atom_site_fract_x
_atom_site_fract_y
_atom_site_fract_z
_atom_site_occupancy
Si1 Si 0.000 0.000 0.000 1
Au1 Au 0.250 0.250 0.500 1
Se1 Se 0.000 0.500 0.000 1



(13)
# PBE-GGA SiAuSe, optimized geometry
# Fermi-level density of states: 2.04 states/eV/f.u.
# Total moment: 0.000 μB/atom
# V: 20.866 Å³/atom
# Formation energy without anion corrections: 0.99 eV/f.u.
data_SiAuSe
_chemical_formula_sum 'Si4 Au4 Se4'
_cell_length_a 6.303
_cell_length_b 6.303
_cell_length_c 6.303
_cell_angle_alpha 90.00
_cell_angle_beta 90.00
_cell_angle_gamma 90.00
_space_group_name_H-M_alt 'F -4 3 m'
_space_group_IT_number 216
_space_group_name_Hall 'F -4 2 3'
loop_
_atom_site_label
_atom_site_type_symbol
_atom_site_fract_x
_atom_site_fract_y
_atom_site_fract_z
_atom_site_occupancy
Si1 Si 0.000 0.000 0.000 1
Au1 Au 0.250 0.250 0.750 1
Se1 Se 0.250 0.250 0.250 1



(14)
# PBE-GGA SiAuSe2, optimized geometry
# Fermi-level density of states: 0.90 states/eV/f.u.
# Total moment: 0.000 μB/atom
# V: 25.130 Å³/atom
# Formation energy without anion corrections: 0.17 eV/f.u.
data_SiAuSe2
_chemical_formula_sum 'Si2 Au2 Se4'
_cell_length_a 12.574
_cell_length_b 3.407
_cell_length_c 4.762
_cell_angle_alpha 90.00
_cell_angle_beta 99.79
_cell_angle_gamma 90.00
_space_group_name_H-M_alt 'C 1 2/m 1'
_space_group_IT_number 12
_space_group_name_Hall '-C 2y'
loop_
_atom_site_label
_atom_site_type_symbol
_atom_site_fract_x
_atom_site_fract_y
_atom_site_fract_z
_atom_site_occupancy
Si1 Si 0.000 0.000 0.000 1
Au1 Au 0.000 0.500 0.500 1
Se1 Se 0.140 0.500 0.185 1